1 | Computed, not measured: a relaxed VCoNiRh crystal at the PBE level of DFT.

Structure (extended XYZ):
```
4
Lattice="4.117 0.000 0.000 2.058 3.565 0.000 2.058 1.188 3.361" Properties=species:S:1:pos:R:3 pbc="T T T"
Co 0.000 0.000 0.000
V 2.058 1.188 0.840
Ni 6.175 3.565 2.521
Rh 4.117 2.377 1.681
```

## Properties
The total magnetization comes out at 0.801 μB per formula unit.

***

2 | Computed, not measured: a relaxed VCoNiRh crystal at the PBE level of DFT.

Structure (extended XYZ):
```
4
Lattice="3.577 0.000 0.000 0.000 3.680 0.000 0.000 0.000 3.686" Properties=species:S:1:pos:R:3 pbc="T T T"
V 0.000 1.840 1.843
Ni 0.000 0.000 0.000
Co 1.789 1.840 0.000
Rh 1.789 0.000 1.843
```

## Properties
The total magnetization comes out at 0.741 μB per formula unit.

***

In terms of stability, 2 leads; the second structure lies 160 meV per atom higher.